[1]
The following is a PBE-GGA calculation of a relaxed structure of Ba2NaSrPt, from the Open Quantum Materials Database.

Computed properties:
Total energy = -2.99 eV per atom

Lattice parameters (Å, degrees): 6.2728 6.2728 6.0407 90.00 90.00 90.00
Space group P4/mmm (No. 123)
Symmetry-distinct sites (fractional):
Ba1 0.0000 0.5000 0.0000 x2
Na1 0.0000 0.0000 0.5000 x1
Sr1 0.5000 0.5000 0.5000 x1
Pt1 0.5000 0.5000 0.0000 x1



[2]
The following is a PBE-GGA calculation of a relaxed structure of LiTcBiSb, from the Open Quantum Materials Database.

Computed properties:
ΔE to the lowest computed polymorph = 0.0 kJ/mol of atoms

Lattice parameters (Å, degrees): 6.7624 6.7624 6.7624 90.00 90.00 90.00
Space group F-43m (No. 216)
Symmetry-distinct sites (fractional):
Li1 0.0000 0.0000 0.0000 x4
Tc1 0.0000 0.0000 0.5000 x4
Bi1 0.2500 0.2500 0.2500 x4
Sb1 0.2500 0.2500 0.7500 x4



[3]
The following is a PBE-GGA calculation of a relaxed structure of MgOs, from the Open Quantum Materials Database.

Computed properties:
Total energy = -6.14 eV per atom

Lattice parameters (Å, degrees): 4.6041 5.4220 4.9438 90.00 90.00 90.00
Space group Pmm2 (No. 25)
Symmetry-distinct sites (fractional):
Mg1 0.0000 0.0000 0.0000 x1
Mg2 0.0000 0.2630 0.4740 x2
Mg3 0.5000 0.0000 0.6745 x1
Os1 0.0000 0.5000 0.9594 x1
Os2 0.5000 0.2465 0.1815 x2
Os3 0.5000 0.5000 0.6870 x1



[4]
The following is a PBE-GGA calculation of a relaxed structure of Li6Ta2O7, from the Open Quantum Materials Database.

Computed properties:
Total energy = -6.91 eV per atom

Lattice parameters (Å, degrees): 5.1258 5.2352 5.9097 86.99 71.92 77.27
Space group P-1 (No. 2)
Symmetry-distinct sites (fractional):
Li1 0.1947 0.3648 0.3169 x2
Li2 0.2369 0.3790 0.8386 x2
Li3 0.2493 0.9174 0.5496 x2
Ta1 0.2284 0.8716 0.0623 x2
O1 0.0170 0.7474 0.3612 x2
O2 0.0284 0.7407 0.8519 x2
O3 0.4966 0.0077 0.7677 x2
O4 0.5000 0.5000 0.0000 x1



[5]
The following is a PBE-GGA calculation of a relaxed structure of Li2Mg2In2CuAg, from the Open Quantum Materials Database.

Computed properties:
Total energy = -2.60 eV per atom

Lattice parameters (Å, degrees): 4.6007 4.6007 6.5989 90.00 90.00 90.00
Space group P-4m2 (No. 115)
Symmetry-distinct sites (fractional):
Li1 0.0000 0.0000 0.0000 x1
Li2 0.5000 0.5000 0.5000 x1
Mg1 0.0000 0.5000 0.2410 x2
In1 0.0000 0.5000 0.7628 x2
Cu1 0.5000 0.5000 0.0000 x1
Ag1 0.0000 0.0000 0.5000 x1



[6]
The following is a PBE-GGA calculation of a relaxed structure of HfZr2Hg2, from the Open Quantum Materials Database.

Computed properties:
ΔE to the lowest computed polymorph = 0.0 kJ/mol of atoms
Formation energy = 22 kJ per mole of atoms

Lattice parameters (Å, degrees): 4.1050 4.1050 13.5679 90.00 90.00 90.00
Space group I4/mmm (No. 139)
Symmetry-distinct sites (fractional):
Hf1 0.0000 0.0000 0.0000 x2
Zr1 0.0000 0.5000 0.2500 x4
Hg1 0.0000 0.0000 0.4027 x4



[7]
The following is a PBE-GGA calculation of a relaxed structure of K2AgSnBr6, from the Open Quantum Materials Database.

Computed properties:
ΔE to the lowest computed polymorph = 7.5 kJ/mol of atoms

Lattice parameters (Å, degrees): 9.4958 7.7542 10.9654 90.00 111.31 90.00
Space group P2_1 (No. 4)
Symmetry-distinct sites (fractional):
K1 0.1282 0.0000 0.3862 x2
K2 0.1983 0.0802 0.9386 x2
Ag1 0.3072 0.6153 0.9222 x2
Sn1 0.3955 0.4839 0.6132 x2
Br1 0.0713 0.4686 0.9456 x2
Br2 0.1500 0.7770 0.7026 x2
Br3 0.1902 0.2578 0.6478 x2
Br4 0.3476 0.8377 0.2268 x2
Br5 0.4041 0.3141 0.4009 x2
Br6 0.4826 0.3571 0.0560 x2



[8]
The following is a PBE-GGA calculation of a relaxed structure of TmIrNO, from the Open Quantum Materials Database.

Computed properties:
ΔE to the lowest computed polymorph = 51.6 kJ/mol of atoms

Lattice parameters (Å, degrees): 3.8074 6.2043 5.0517 90.00 90.00 90.00
Space group Pmc2_1 (No. 26)
Symmetry-distinct sites (fractional):
Tm1 0.0000 0.1980 0.0000 x2
Ir1 0.5000 0.4135 0.4558 x2
N1 0.5000 0.3024 0.8107 x2
O1 0.0000 0.1369 0.4126 x2



[9]
The following is a PBE-GGA calculation of a relaxed structure of LaPdO3, from the Open Quantum Materials Database.

Computed properties:
Total energy = -6.60 eV per atom

Lattice parameters (Å, degrees): 6.0283 8.2562 5.8151 90.00 90.00 90.00
Space group Pnma (No. 62)
Symmetry-distinct sites (fractional):
La1 0.0000 0.0000 0.0000 x4
Pd1 0.0404 0.2500 0.4923 x4
O1 0.1581 0.5905 0.6497 x8
O2 0.1718 0.7500 0.1630 x4



[10]
The following is a PBE-GGA calculation of a relaxed structure of Pr4CBr2O, from the Open Quantum Materials Database.

Computed properties:
Total energy = -5.96 eV per atom

Lattice parameters (Å, degrees): 3.7778 3.7778 14.8489 90.00 90.00 120.00
Space group P-3m1 (No. 164)
Symmetry-distinct sites (fractional):
Pr1 0.3333 0.6667 0.0888 x2
Pr2 0.3333 0.6667 0.4067 x2
C1 0.0000 0.0000 0.5000 x1
Br1 0.3333 0.6667 0.7572 x2
O1 0.0000 0.0000 0.0000 x1



[11]
The following is a PBE-GGA calculation of a relaxed structure of LiTl2H6Ir, from the Open Quantum Materials Database.

Computed properties:
Total energy = -3.58 eV per atom

Lattice parameters (Å, degrees): 7.8997 7.8997 7.8997 90.00 90.00 90.00
Space group Fm-3m (No. 225)
Symmetry-distinct sites (fractional):
Li1 0.0000 0.0000 0.0000 x4
Tl1 0.2500 0.2500 0.2500 x8
H1 0.0000 0.0000 0.2840 x24
Ir1 0.0000 0.0000 0.5000 x4



[12]
The following is a PBE-GGA calculation of a relaxed structure of AgSnTe3Ir, from the Open Quantum Materials Database.

Computed properties:
Total energy = -4.31 eV per atom

Lattice parameters (Å, degrees): 4.1194 15.4238 10.6310 90.00 90.00 90.00
Space group Cmcm (No. 63)
Symmetry-distinct sites (fractional):
Ag1 0.0000 0.1849 0.2500 x4
Sn1 0.0000 0.1842 0.7500 x4
Te1 0.0000 0.1111 0.0194 x8
Te2 0.0000 0.4551 0.2500 x4
Ir1 0.0000 0.5000 0.0000 x4